First-principles (PBE) data for an optimized crystal structure of ScNi2Os, as listed in Alexandria.

a = 5.1374 Å, b = 5.1374 Å, c = 5.1374 Å
α = 147.39°, β = 130.00°, γ = 60.98°
With the nearest neighbours (Å) after each atom.
Element x y z (fractional)
Sc1 0.0000 0.0000 0.0000  6 Ni 2.61-2.74, 2 Os 2.83, 2 Sc 2.88
Ni1 0.2626 0.7626 0.5000  2 Ni 2.46, 4 Os 2.63, 2 Sc 2.74
Ni2 0.4872 0.4872 0.0000  2 Ni 2.46, 2 Os 2.55, 4 Sc 2.61
Os1 0.7251 0.2251 0.5000  6 Ni 2.55-2.63, 2 Sc 2.83

## Properties
formation enthalpy at 0 K = -0.0563 eV per atom
E_tot = -29.35 eV per formula unit

---

First-principles (PBE) data for an optimized crystal structure of Pm6Dy3Er, as listed in Alexandria.

a = 11.0821 Å, b = 11.0821 Å, c = 6.3372 Å
α = 90.00°, β = 90.00°, γ = 120.69°
With the nearest neighbours (Å) after each atom.
Element x y z (fractional)
Pm1 0.0374 0.9626 0.5000  1 Er 3.38, 4 Pm 3.48-3.77, 4 Dy 3.49-3.58
Pm2 0.0571 0.4780 0.0309  3 Pm 3.15-3.51, 2 Dy 3.29-3.52, 2 Er 3.36-3.48
Pm3 0.2787 0.7213 0.7417  4 Pm 3.15-3.48, 1 Er 3.36, 1 Dy 3.41
Pm4 0.2881 0.3743 0.8433  4 Dy 3.47-3.76, 5 Pm 3.51-3.77
Pm5 0.3743 0.2881 0.3433  4 Dy 3.47-3.76, 5 Pm 3.51-3.77
Pm6 0.4780 0.0571 0.5309  3 Pm 3.15-3.51, 2 Dy 3.29-3.52, 2 Er 3.36-3.48
Pm7 0.5220 0.9429 0.0309  3 Pm 3.15-3.51, 2 Dy 3.29-3.52, 2 Er 3.36-3.48
Pm8 0.6257 0.7119 0.8433  4 Dy 3.47-3.76, 5 Pm 3.51-3.77
Pm9 0.7119 0.6257 0.3433  4 Dy 3.47-3.76, 5 Pm 3.51-3.77
Pm10 0.7213 0.2787 0.2417  4 Pm 3.15-3.48, 1 Er 3.36, 1 Dy 3.41
Pm11 0.9429 0.5220 0.5309  3 Pm 3.15-3.51, 2 Dy 3.29-3.52, 2 Er 3.36-3.48
Pm12 0.9626 0.0374 0.0000  1 Er 3.38, 4 Pm 3.48-3.77, 4 Dy 3.49-3.58
Dy1 0.0550 0.2828 0.4245  6 Pm 3.29-3.58, 1 Er 3.30
Dy2 0.2828 0.0550 0.9245  6 Pm 3.29-3.58, 1 Er 3.30
Dy3 0.3860 0.6140 0.3127  7 Pm 3.41-3.76, 1 Er 3.66, 2 Dy 3.70
Dy4 0.6140 0.3860 0.8127  7 Pm 3.41-3.76, 1 Er 3.66, 2 Dy 3.70
Dy5 0.7172 0.9450 0.4245  6 Pm 3.29-3.58, 1 Er 3.30
Dy6 0.9450 0.7172 0.9245  6 Pm 3.29-3.58, 1 Er 3.30
Er1 0.1964 0.8036 0.2751  3 Dy 3.30-3.66, 6 Pm 3.36-3.48
Er2 0.8036 0.1964 0.7751  3 Dy 3.30-3.66, 6 Pm 3.36-3.48

## Properties
formation enthalpy at 0 K = 0.1428 eV per atom
E_tot = -45.44 eV per formula unit

---

First-principles (PBE) data for an optimized crystal structure of SmSc2Si2, as listed in Alexandria.

a = 6.6333 Å, b = 6.6333 Å, c = 8.3187 Å
α = 90.00°, β = 90.00°, γ = 142.80°
With the nearest neighbours (Å) after each atom.
Element x y z (fractional)
Sm1 0.0856 0.9144 0.5000  7 Si 3.12-3.44, 1 Sc 3.47
Sm2 0.9144 0.0856 0.0000  7 Si 3.12-3.44, 1 Sc 3.47
Sc1 0.1891 0.8109 0.1136  5 Si 2.72-2.77
Sc2 0.3760 0.6240 0.3566  4 Si 2.68-2.81
Sc3 0.6240 0.3760 0.8566  4 Si 2.68-2.81
Sc4 0.8109 0.1891 0.6136  5 Si 2.72-2.77
Si1 0.2572 0.7428 0.8018  1 Si 2.60, 5 Sc 2.72-2.74
Si2 0.4465 0.5535 0.6774  1 Si 2.60, 4 Sc 2.68-2.81
Si3 0.5535 0.4465 0.1774  1 Si 2.60, 4 Sc 2.68-2.81
Si4 0.7428 0.2572 0.3018  1 Si 2.60, 5 Sc 2.72-2.74

## Properties
formation energy (no corrections) = -0.627 eV per atom
E_tot = -31.36 eV per formula unit